Entry 1:
Compound: Y3CoPb
Source: Alexandria via LeMat-Bulk
Functional: PBE
Structure: relaxed

Cell lengths 4.454, 8.494, 8.493 Å; angles 123.53, 90.00, 90.00 degrees
Element x y z (fractional)
Y  0.291  0.600  0.806
Y  0.791  0.855  0.192
Y  0.291  0.181  0.224
Y  0.791  0.388  0.013
Y  0.791  0.567  0.480
Y  0.291  0.938  0.563
Pb  0.792  0.947  0.873
Pb  0.792  0.249  0.572
Co  0.291  0.664  0.143
Co  0.292  0.518  0.288

Results
Energy above the lowest structure with this stoichiometry: 15 meV per atom
Density of states at the Fermi level: 0.3610 states/eV/atom
ΔH_f (0 K): -333.7 meV per atom
DFT total energy: -6.375 eV/atom
M_tot: 0.00 μB/f.u.

***

Entry 2:
Compound: Y3CoPb
Source: Alexandria via LeMat-Bulk
Functional: PBE
Structure: relaxed

Cell lengths 4.206, 7.327, 8.859 Å; angles 90.00, 90.00, 90.00 degrees
Element x y z (fractional)
Pb  0.500  0.250  0.451
Pb  0.500  0.750  0.549
Y  0.000  0.023  0.732
Y  0.000  0.977  0.268
Y  0.000  0.477  0.732
Y  0.000  0.523  0.268
Y  0.500  0.250  0.039
Y  0.500  0.750  0.961
Co  0.500  0.250  0.743
Co  0.500  0.750  0.257

Results
Energy above the lowest structure with this stoichiometry: 201 meV per atom
Density of states at the Fermi level: 0.6482 states/eV/atom
ΔH_f (0 K): -148.4 meV per atom
DFT total energy: -6.190 eV/atom
M_tot: 0.00 μB/f.u.

***

Entry 3:
Compound: Y3CoPb
Source: Alexandria via LeMat-Bulk
Functional: PBE
Structure: relaxed

Cell lengths 4.355, 7.944, 8.754 Å; angles 120.07, 90.00, 90.00 degrees
Element x y z (fractional)
Y  0.978  0.323  0.400
Y  0.478  0.997  0.079
Y  0.478  0.543  0.252
Y  0.978  0.930  0.728
Y  0.978  0.477  0.901
Y  0.478  0.151  0.580
Pb  0.978  0.866  0.292
Pb  0.478  0.608  0.688
Co  0.978  0.253  0.063
Co  0.478  0.220  0.917

Results
Energy above the lowest structure with this stoichiometry: 12 meV per atom
Density of states at the Fermi level: 1.2229 states/eV/atom
ΔH_f (0 K): -336.7 meV per atom
DFT total energy: -6.378 eV/atom
M_tot: 0.00 μB/f.u.

***

Entry 4:
Compound: Y3CoPb
Source: Alexandria via LeMat-Bulk
Functional: PBE
Structure: relaxed

Cell lengths 5.682, 5.682, 5.682 Å; angles 104.90, 104.90, 104.90 degrees
Element x y z (fractional)
Pb  0.625  0.625  0.625
Y  0.875  0.255  0.875
Y  0.255  0.875  0.875
Y  0.875  0.875  0.255
Co  0.245  0.245  0.245

Results
Energy above the lowest structure with this stoichiometry: 694 meV per atom
Density of states at the Fermi level: 0.9384 states/eV/atom
ΔH_f (0 K): 345.1 meV per atom
DFT total energy: -5.696 eV/atom
M_tot: 0.00 μB/f.u.

***

Entry 5:
Compound: Y5Co2Pb
Source: Alexandria via LeMat-Bulk
Functional: PBE
Structure: relaxed

Cell lengths 7.654, 7.654, 8.713 Å; angles 116.05, 116.05, 90.00 degrees
Element x y z (fractional)
Y  0.529  0.709  0.738
Y  0.791  0.971  0.262
Y  0.000  0.000  0.000
Y  0.500  0.500  0.000
Y  0.209  0.029  0.738
Y  0.709  0.209  0.738
Y  0.029  0.529  0.738
Y  0.291  0.791  0.262
Y  0.971  0.471  0.262
Y  0.471  0.291  0.262
Co  0.133  0.367  0.000
Co  0.633  0.133  0.000
Co  0.367  0.867  0.000
Co  0.867  0.633  0.000
Pb  0.750  0.750  0.500
Pb  0.250  0.250  0.500

Results
Density of states at the Fermi level: 1.3079 states/eV/atom
ΔH_f (0 K): -281.8 meV per atom
DFT total energy: -6.562 eV/atom
M_tot: 0.00 μB/f.u.

***

Entry 6:
Compound: Y3CoPb
Source: Alexandria via LeMat-Bulk
Functional: PBE
Structure: relaxed

Cell lengths 3.717, 8.458, 8.692 Å; angles 93.60, 90.00, 77.32 degrees
Element x y z (fractional)
Y  0.944  0.279  0.706
Y  0.388  0.390  0.042
Y  0.596  0.973  0.471
Y  0.079  0.007  0.035
Y  0.287  0.591  0.465
Y  0.732  0.702  0.800
Pb  0.950  0.267  0.331
Pb  0.726  0.714  0.175
Co  0.125  0.916  0.701
Co  0.551  0.064  0.805

Results
Energy above the lowest structure with this stoichiometry: 18 meV per atom
Density of states at the Fermi level: 0.9462 states/eV/atom
ΔH_f (0 K): -330.8 meV per atom
DFT total energy: -6.372 eV/atom
M_tot: 0.00 μB/f.u.

***

Entry 7:
Compound: Y2CoPb
Source: Alexandria via LeMat-Bulk
Functional: PBE
Structure: relaxed

Cell lengths 5.930, 5.930, 5.930 Å; angles 137.12, 137.12, 62.25 degrees
Element x y z (fractional)
Co  0.500  0.500  0.000
Pb  0.750  0.250  0.500
Y  0.000  0.000  0.000
Y  0.250  0.750  0.500

Results
Density of states at the Fermi level: 1.2832 states/eV/atom
ΔH_f (0 K): -40.0 meV per atom
DFT total energy: -5.976 eV/atom
M_tot: 0.57 μB/f.u.

***

Entry 8:
Compound: Y2CoPb
Source: Alexandria via LeMat-Bulk
Functional: PBE
Structure: relaxed

Cell lengths 3.741, 3.741, 8.815 Å; angles 78.44, 78.44, 59.13 degrees
Element x y z (fractional)
Co  0.750  0.750  0.750
Pb  0.250  0.250  0.250
Y  0.021  0.021  0.937
Y  0.479  0.479  0.563

Results
Density of states at the Fermi level: 0.6344 states/eV/atom
ΔH_f (0 K): -204.2 meV per atom
DFT total energy: -6.140 eV/atom
M_tot: 0.00 μB/f.u.

***

Entry 9:
Compound: Y2CoPb
Source: Alexandria via LeMat-Bulk
Functional: PBE
Structure: relaxed

Cell lengths 3.792, 4.449, 6.250 Å; angles 69.14, 90.00, 90.00 degrees
Element x y z (fractional)
Co  0.000  0.724  0.426
Pb  0.500  0.559  0.756
Y  0.000  0.956  0.963
Y  0.500  0.260  0.355

Results
Density of states at the Fermi level: 0.8084 states/eV/atom
ΔH_f (0 K): -242.6 meV per atom
DFT total energy: -6.178 eV/atom
M_tot: 0.00 μB/f.u.

***

Entry 10:
Compound: Y3CoPb
Source: Alexandria via LeMat-Bulk
Functional: PBE
Structure: relaxed

Cell lengths 6.343, 6.343, 6.343 Å; angles 88.73, 88.73, 88.73 degrees
Element x y z (fractional)
Pb  0.000  0.000  0.000
Pb  0.500  0.500  0.500
Y  0.942  0.558  0.250
Y  0.558  0.250  0.942
Y  0.250  0.942  0.558
Y  0.750  0.058  0.442
Y  0.442  0.750  0.058
Y  0.058  0.442  0.750
Co  0.250  0.250  0.250
Co  0.750  0.750  0.750

Results
Energy above the lowest structure with this stoichiometry: 285 meV per atom
Density of states at the Fermi level: 1.6332 states/eV/atom
ΔH_f (0 K): -64.4 meV per atom
DFT total energy: -6.106 eV/atom
M_tot: 1.55 μB/f.u.

***

Entry 11:
Compound: YCo2Pb2
Source: Alexandria via LeMat-Bulk
Functional: PBE
Structure: relaxed

Cell lengths 4.617, 4.617, 5.895 Å; angles 66.95, 66.95, 90.00 degrees
Element x y z (fractional)
Pb  0.750  0.250  0.500
Pb  0.250  0.750  0.500
Y  0.000  0.000  0.000
Co  0.389  0.389  0.222
Co  0.611  0.611  0.778

Results
Energy above the lowest structure with this stoichiometry: 0 meV per atom
Density of states at the Fermi level: 0.7572 states/eV/atom
ΔH_f (0 K): 112.7 meV per atom
DFT total energy: -5.506 eV/atom
M_tot: 1.73 μB/f.u.

***

Entry 12:
Compound: Y3CoPb
Source: Alexandria via LeMat-Bulk
Functional: PBE
Structure: relaxed

Cell lengths 4.821, 4.821, 15.566 Å; angles 90.00, 90.00, 120.00 degrees
Element x y z (fractional)
Pb  0.000  0.000  0.000
Pb  0.000  0.000  0.500
Y  0.000  0.000  0.250
Y  0.000  0.000  0.750
Y  0.333  0.667  0.907
Y  0.333  0.667  0.593
Y  0.667  0.333  0.407
Y  0.667  0.333  0.093
Co  0.333  0.667  0.750
Co  0.667  0.333  0.250

Results
Energy above the lowest structure with this stoichiometry: 358 meV per atom
Density of states at the Fermi level: 0.9416 states/eV/atom
ΔH_f (0 K): 9.3 meV per atom
DFT total energy: -6.032 eV/atom
M_tot: 0.00 μB/f.u.